(1)
A relaxed Np2CoSi3 crystal, computed with GGA-PBE.

Computed properties:
- Density: 10.5 g/cm³
- Calculated volume: 16.30 A^3/atom
- DOS(E_F): 9.75 states/eV per cell
- Total energy: -8.559 eV per atom
- Formation energy from raw total energies: -350 meV/atom

Lattice parameters (Å, degrees): 5.3002 5.3002 6.0406 121.91 121.91 44.60
With the nearest neighbours (Å) after each atom.
Element x y z (fractional)
Np 0.0000 0.0000 0.0000  1 Np 2.41
Np 0.0855 0.0855 0.6971  1 Np 2.41
Co 0.6931 0.6931 0.4477  4 Si 2.26-2.31
Si 0.3312 0.3312 0.5703  2 Co 2.30, 1 Si 2.52
Si 0.4160 0.4160 0.2473  1 Co 2.26, 3 Si 2.44-2.52
Si 0.7458 0.7458 0.1208  1 Co 2.31, 2 Si 2.44


(2)
A relaxed NpCo5Si3 crystal, computed with GGA-PBE.

Computed properties:
- Density: 8.5 g/cm³
- Calculated volume: 13.39 A^3/atom
- DOS(E_F): 31.39 states/eV per cell
- Total energy: -7.584 eV per atom
- Formation energy from raw total energies: -390 meV/atom

Lattice parameters (Å, degrees): 6.1216 6.1216 11.2323 90.00 90.00 145.07
With the nearest neighbours (Å) after each atom.
Element x y z (fractional)
Np 0.1699 0.8301 0.7500  7 Si 3.02-3.25, 8 Co 3.19-3.38
Np 0.8301 0.1699 0.2500  7 Si 3.02-3.25, 8 Co 3.19-3.38
Co 0.0000 0.0000 0.0000  4 Si 2.36, 6 Co 2.38-2.52
Co 0.0000 0.0000 0.5000  4 Si 2.36, 6 Co 2.38-2.52
Co 0.1941 0.8059 0.0656  4 Si 2.19-2.37, 1 Co 2.38
Co 0.1941 0.8059 0.4344  4 Si 2.19-2.37, 1 Co 2.38
Co 0.4493 0.5507 0.6447  4 Si 2.26-2.29, 3 Co 2.37-2.52
Co 0.4493 0.5507 0.8553  4 Si 2.26-2.29, 3 Co 2.37-2.52
Co 0.5507 0.4493 0.1447  4 Si 2.26-2.29, 3 Co 2.37-2.52
Co 0.5507 0.4493 0.3553  4 Si 2.26-2.29, 3 Co 2.37-2.52
Co 0.8059 0.1941 0.5656  4 Si 2.19-2.37, 1 Co 2.38
Co 0.8059 0.1941 0.9344  4 Si 2.19-2.37, 1 Co 2.38
Si 0.1086 0.8914 0.2500  6 Co 2.29-2.30
Si 0.3808 0.6192 0.0433  7 Co 2.19-2.37
Si 0.3808 0.6192 0.4567  7 Co 2.19-2.37
Si 0.6192 0.3808 0.5433  7 Co 2.19-2.37
Si 0.6192 0.3808 0.9567  7 Co 2.19-2.37
Si 0.8914 0.1086 0.7500  6 Co 2.29-2.30


(3)
A relaxed NpCo3Si2 crystal, computed with GGA-PBE.

Computed properties:
- Density: 9.5 g/cm³
- Calculated volume: 13.69 A^3/atom
- DOS(E_F): 30.84 states/eV per cell
- Total energy: -7.966 eV per atom
- Formation energy from raw total energies: -449 meV/atom

Lattice parameters (Å, degrees): 7.8741 7.8741 9.0679 106.98 106.98 27.35
With the nearest neighbours (Å) after each atom.
Element x y z (fractional)
Np 0.0000 0.0000 0.0000  6 Co 2.79-2.92, 6 Si 2.85-2.96
Np 0.1623 0.1623 0.7051  6 Si 2.88-2.94, 8 Co 2.93-3.21
Np 0.8377 0.8377 0.2949  6 Si 2.88-2.94, 8 Co 2.93-3.21
Co 0.0483 0.0483 0.3370  4 Si 2.30-2.36, 1 Co 2.46
Co 0.2159 0.2159 0.3907  4 Si 2.26-2.35, 1 Co 2.46
Co 0.3222 0.3222 0.0391  4 Si 2.30-2.35, 1 Co 2.54
Co 0.3836 0.3836 0.8087  4 Si 2.27-2.44, 1 Co 2.54
Co 0.5000 0.5000 0.5000  4 Si 2.30-2.34
Co 0.6164 0.6164 0.1913  4 Si 2.27-2.44, 1 Co 2.54
Co 0.6778 0.6778 0.9609  4 Si 2.30-2.35, 1 Co 2.54
Co 0.7841 0.7841 0.6093  4 Si 2.26-2.35, 1 Co 2.46
Co 0.9517 0.9517 0.6630  4 Si 2.30-2.36, 1 Co 2.46
Si 0.1945 0.1945 0.1228  6 Co 2.30-2.39
Si 0.3613 0.3613 0.5496  7 Co 2.26-2.36
Si 0.4652 0.4652 0.2306  5 Co 2.30-2.44
Si 0.5348 0.5348 0.7694  5 Co 2.30-2.44
Si 0.6387 0.6387 0.4504  7 Co 2.26-2.36
Si 0.8055 0.8055 0.8772  6 Co 2.30-2.39


(4)
A relaxed Sm3NpCo8 crystal, computed with GGA-PBE.

Computed properties:
- Density: 10.3 g/cm³
- Energy relative to the elements: -0.064 eV/atom
- Calculated volume: 15.57 A^3/atom
- DOS(E_F): 18.40 states/eV per cell
- Total energy: -7.059 eV per atom

Lattice parameters (Å, degrees): 8.8212 8.8212 8.8212 33.56 33.56 33.56
With the nearest neighbours (Å) after each atom.
Element x y z (fractional)
Sm 0.0000 0.0000 0.0000  12 Co 2.98-3.02, 4 Sm 3.12-3.13
Sm 0.1253 0.1253 0.1253  12 Co 2.95-2.99, 3 Np 3.12, 1 Sm 3.13
Sm 0.6251 0.6251 0.6251  12 Co 2.99-3.04, 1 Np 3.11, 3 Sm 3.12
Np 0.5005 0.5005 0.5005  12 Co 2.94-2.98, 4 Sm 3.11-3.12
Co 0.0613 0.0613 0.5604  6 Co 2.50-2.59
Co 0.0613 0.5604 0.0613  6 Co 2.50-2.59
Co 0.0696 0.5620 0.5620  6 Co 2.51-2.59
Co 0.3130 0.3130 0.3130  6 Co 2.57-2.59
Co 0.5604 0.0613 0.0613  6 Co 2.50-2.59
Co 0.5620 0.0696 0.5620  6 Co 2.51-2.59
Co 0.5620 0.5620 0.0696  6 Co 2.51-2.59
Co 0.8133 0.8133 0.8133  6 Co 2.50-2.53


(5)
A relaxed SmNpCo10 crystal, computed with GGA-PBE.

Computed properties:
- Density: 9.8 g/cm³
- Energy relative to the elements: -0.053 eV/atom
- Calculated volume: 13.76 A^3/atom
- DOS(E_F): 17.86 states/eV per cell
- Total energy: -7.446 eV per atom

Lattice parameters (Å, degrees): 3.9872 4.9114 8.4324 90.00 90.00 90.00
With the nearest neighbours (Å) after each atom.
Element x y z (fractional)
Sm 0.0000 0.0000 0.0000  18 Co 2.92-3.16
Np 0.0000 0.5000 0.5000  6 Co 2.61-2.78
Co 0.0000 0.0000 0.3458  7 Co 2.38-2.60
Co 0.0000 0.0000 0.6542  7 Co 2.38-2.60
Co 0.0000 0.5000 0.1903  6 Co 2.40-2.56, 1 Np 2.61
Co 0.0000 0.5000 0.8097  6 Co 2.40-2.56, 1 Np 2.61
Co 0.5000 0.0000 0.5000  8 Co 2.38-2.42
Co 0.5000 0.2492 0.2526  8 Co 2.40-2.47
Co 0.5000 0.2492 0.7474  8 Co 2.40-2.47
Co 0.5000 0.5000 0.0000  8 Co 2.46-2.56
Co 0.5000 0.7508 0.2526  8 Co 2.40-2.47
Co 0.5000 0.7508 0.7474  8 Co 2.40-2.47


(6)
A relaxed SmNp2Co9 crystal, computed with GGA-PBE.

Computed properties:
- Density: 11.3 g/cm³
- Energy relative to the elements: -0.084 eV/atom
- Calculated volume: 14.09 A^3/atom
- DOS(E_F): 21.27 states/eV per cell
- Total energy: -7.964 eV per atom

Lattice parameters (Å, degrees): 8.6325 8.6325 8.6325 32.92 32.92 32.92
With the nearest neighbours (Å) after each atom.
Element x y z (fractional)
Sm 0.0000 0.0000 0.0000  6 Co 2.82
Np 0.1406 0.1406 0.1406  12 Co 2.83-3.05, 3 Np 3.10
Np 0.8594 0.8594 0.8594  12 Co 2.83-3.05, 3 Np 3.10
Co 0.0829 0.5823 0.5823  7 Co 2.44-2.50
Co 0.3330 0.3330 0.3330  6 Co 2.46-2.47
Co 0.4177 0.4177 0.9171  7 Co 2.44-2.50
Co 0.4177 0.9171 0.4177  7 Co 2.44-2.50
Co 0.5000 0.5000 0.5000  6 Co 2.50
Co 0.5823 0.0829 0.5823  7 Co 2.44-2.50
Co 0.5823 0.5823 0.0829  7 Co 2.44-2.50
Co 0.6670 0.6670 0.6670  6 Co 2.46-2.47
Co 0.9171 0.4177 0.4177  7 Co 2.44-2.50


(7)
A relaxed Sm4NpCo5 crystal, computed with GGA-PBE.

Computed properties:
- Density: 9.3 g/cm³
- Energy relative to the elements: 0.021 eV/atom
- Calculated volume: 20.28 A^3/atom
- DOS(E_F): 8.21 states/eV per cell
- Total energy: -6.713 eV per atom

Lattice parameters (Å, degrees): 6.9016 6.9016 6.9016 97.12 97.12 138.77
With the nearest neighbours (Å) after each atom.
Element x y z (fractional)
Sm 0.0000 0.2902 0.2902  3 Co 2.71-3.02
Sm 0.0000 0.7098 0.7098  3 Co 2.71-3.02
Sm 0.2902 0.0000 0.2902  3 Co 2.71-3.02
Sm 0.7098 0.0000 0.7098  3 Co 2.71-3.02
Np 0.3937 0.3937 0.0000  6 Co 2.28-2.47
Co 0.3384 0.3384 0.6573  1 Np 2.28
Co 0.3384 0.6812 0.0000  1 Np 2.28
Co 0.6812 0.3384 0.0000  1 Np 2.28
Co 0.6812 0.6812 0.3427  1 Np 2.28
Co 0.8862 0.8862 0.0000  2 Np 2.39-2.47


(8)
A relaxed NpCoSn crystal, computed with GGA-PBE.

Computed properties:
- Density: 12.2 g/cm³
- Energy relative to the elements: 0.058 eV/atom
- Calculated volume: 18.88 A^3/atom
- DOS(E_F): 6.85 states/eV per cell
- Total energy: -7.958 eV per atom

Lattice parameters (Å, degrees): 6.2237 6.2237 6.2237 150.97 150.97 41.52
With the nearest neighbours (Å) after each atom.
Element x y z (fractional)
Np 0.0000 0.0000 0.0000  4 Co 2.80, 4 Np 3.12
Co 0.6483 0.6483 0.0000  4 Sn 2.73, 4 Np 2.80
Sn 0.2865 0.2865 0.0000  4 Co 2.73


(9)
A relaxed NpCo4Sn crystal, computed with GGA-PBE.

Computed properties:
- Density: 11.3 g/cm³
- Energy relative to the elements: -0.069 eV/atom
- Calculated volume: 14.44 A^3/atom
- DOS(E_F): 8.26 states/eV per cell
- Total energy: -7.630 eV per atom

Lattice parameters (Å, degrees): 4.9665 4.9665 4.9665 60.00 60.00 60.00
With the nearest neighbours (Å) after each atom.
Element x y z (fractional)
Np 0.0000 0.0000 0.0000  12 Co 2.91, 4 Sn 3.04
Co 0.1287 0.6238 0.6238  6 Co 2.46-2.51
Co 0.6238 0.1287 0.6238  6 Co 2.46-2.51
Co 0.6238 0.6238 0.1287  6 Co 2.46-2.51
Co 0.6238 0.6238 0.6238  6 Co 2.46-2.51
Sn 0.2500 0.2500 0.2500  12 Co 2.91, 4 Np 3.04


(10)
A relaxed NpCoSn crystal, computed with GGA-PBE.

Computed properties:
- Density: 10.8 g/cm³
- Energy relative to the elements: 0.008 eV/atom
- Calculated volume: 21.34 A^3/atom
- DOS(E_F): 8.95 states/eV per cell
- Total energy: -8.009 eV per atom

Lattice parameters (Å, degrees): 4.4901 4.4901 4.4901 60.00 60.00 60.00
With the nearest neighbours (Å) after each atom.
Element x y z (fractional)
Np 0.0000 0.0000 0.0000  4 Co 2.75
Co 0.2500 0.2500 0.2500  4 Sn 2.75, 4 Np 2.75
Sn 0.5000 0.5000 0.5000  4 Co 2.75


(11)
A relaxed Np2CoSn8 crystal, computed with GGA-PBE.

Computed properties:
- Density: 9.4 g/cm³
- Energy relative to the elements: -0.085 eV/atom
- Calculated volume: 23.76 A^3/atom
- DOS(E_F): 25.45 states/eV per cell
- Total energy: -5.995 eV per atom

Lattice parameters (Å, degrees): 4.6005 4.6005 12.3491 90.00 90.00 90.00
With the nearest neighbours (Å) after each atom.
Element x y z (fractional)
Np 0.0000 0.0000 0.1911  12 Sn 3.25-3.30
Np 0.0000 0.0000 0.8089  12 Sn 3.25-3.30
Co 0.0000 0.0000 0.5000  8 Sn 2.74
Sn 0.0000 0.5000 0.0000  8 Sn 3.25-3.29, 4 Np 3.30
Sn 0.0000 0.5000 0.3798  2 Co 2.74, 1 Sn 2.97
Sn 0.0000 0.5000 0.6202  2 Co 2.74, 1 Sn 2.97
Sn 0.5000 0.0000 0.0000  8 Sn 3.25-3.29, 4 Np 3.30
Sn 0.5000 0.0000 0.3798  2 Co 2.74, 1 Sn 2.97
Sn 0.5000 0.0000 0.6202  2 Co 2.74, 1 Sn 2.97
Sn 0.5000 0.5000 0.1903  4 Np 3.25, 8 Sn 3.28-3.29
Sn 0.5000 0.5000 0.8097  4 Np 3.25, 8 Sn 3.28-3.29


(12)
A relaxed NpZnCoSn crystal, computed with GGA-PBE.

Computed properties:
- Density: 10.9 g/cm³
- Energy relative to the elements: 0.059 eV/atom
- Calculated volume: 18.33 A^3/atom
- DOS(E_F): 8.88 states/eV per cell
- Total energy: -6.272 eV per atom

Lattice parameters (Å, degrees): 4.6982 4.6982 4.6982 60.00 60.00 60.00
With the nearest neighbours (Å) after each atom.
Element x y z (fractional)
Np 0.0000 0.0000 0.0000  4 Co 2.88, 4 Zn 2.88
Zn 0.7500 0.7500 0.7500  4 Sn 2.88, 4 Np 2.88
Co 0.2500 0.2500 0.2500  4 Sn 2.88, 4 Np 2.88
Sn 0.5000 0.5000 0.5000  4 Zn 2.88, 4 Co 2.88